No. 1
An optimized crystal structure of MgIn2Sb. Source: the Alexandria database, functional PBE.

Computed properties:
Theoretical density ... 6.00 g/cm³
Uncorrected energy ... -2.835 eV/atom
Total magnetic moment ... 0.00 Bohr magnetons per cell
N(E_F) ... 1.96 states/eV per cell
Distance to the lowest polymorph of the same formula ... 36.2 meV/atom
Crystal system ... tetragonal
Energy relative to the elements, uncorrected ... -0.036 eV/atom

abc: 3.413 3.413 8.922
angles: 90.00 90.00 90.00
Atoms (fractional coordinates):
In: 0.000 0.000 0.002
In: 0.500 0.500 0.269
Mg: 0.000 0.000 0.504
Sb: 0.500 0.500 0.725

=====

No. 2
An optimized crystal structure of MgIn2Sb. Source: the Alexandria database, functional PBE.

Computed properties:
Theoretical density ... 5.58 g/cm³
Uncorrected energy ... -2.829 eV/atom
Total magnetic moment ... 0.00 Bohr magnetons per cell
N(E_F) ... 2.11 states/eV per cell
Distance to the lowest polymorph of the same formula ... 41.6 meV/atom
Crystal system ... tetragonal
Energy relative to the elements, uncorrected ... -0.031 eV/atom

abc: 8.645 8.645 6.807
angles: 50.58 50.58 90.00
Atoms (fractional coordinates):
Sb: 0.000 0.000 0.000
Sb: 0.750 0.250 0.500
Mg: 0.500 0.500 0.000
Mg: 0.250 0.750 0.500
In: 0.647 0.125 0.250
In: 0.103 0.625 0.250
In: 0.375 0.353 0.750
In: 0.875 0.897 0.750

=====

No. 3
An optimized crystal structure of MgIn2Sb2. Source: the Alexandria database, functional PBE.

Computed properties:
Theoretical density ... 5.47 g/cm³
Uncorrected energy ... -2.904 eV/atom
Total magnetic moment ... 0.00 Bohr magnetons per cell
N(E_F) ... 2.37 states/eV per cell
Distance to the lowest polymorph of the same formula ... 139.1 meV/atom
Crystal system ... tetragonal
Energy relative to the elements, uncorrected ... 0.160 eV/atom

abc: 4.403 4.403 8.393
angles: 74.79 74.79 90.00
Atoms (fractional coordinates):
Sb: 0.750 0.250 0.500
Sb: 0.250 0.750 0.500
Mg: 0.000 0.000 0.000
In: 0.403 0.403 0.193
In: 0.597 0.597 0.807

=====

No. 4
An optimized crystal structure of MgIn2Sb2. Source: the Alexandria database, functional PBE.

Computed properties:
Theoretical density ... 5.76 g/cm³
Uncorrected energy ... -2.991 eV/atom
Total magnetic moment ... 0.00 Bohr magnetons per cell
N(E_F) ... 2.25 states/eV per cell
Distance to the lowest polymorph of the same formula ... 52.1 meV/atom
Crystal system ... tetragonal
Energy relative to the elements, uncorrected ... 0.073 eV/atom

abc: 4.163 4.163 8.780
angles: 76.29 76.29 90.00
Atoms (fractional coordinates):
Sb: 0.413 0.413 0.174
Sb: 0.587 0.587 0.826
Mg: 0.000 0.000 0.000
In: 0.750 0.250 0.500
In: 0.250 0.750 0.500

=====

No. 5
An optimized crystal structure of Mg2InSb2. Source: the Alexandria database, functional PBE.

Computed properties:
Theoretical density ... 5.24 g/cm³
Uncorrected energy ... -2.987 eV/atom
Total magnetic moment ... 0.00 Bohr magnetons per cell
N(E_F) ... 2.97 states/eV per cell
Crystal system ... tetragonal
Energy relative to the elements, uncorrected ... -0.152 eV/atom

abc: 8.784 8.784 3.345
angles: 90.00 90.00 90.00
Atoms (fractional coordinates):
Sb: 0.338 0.838 0.000
Sb: 0.838 0.662 0.000
Sb: 0.662 0.162 0.000
Sb: 0.162 0.338 0.000
Mg: 0.136 0.636 0.500
Mg: 0.636 0.864 0.500
Mg: 0.864 0.364 0.500
Mg: 0.364 0.136 0.500
In: 0.000 0.000 0.000
In: 0.500 0.500 0.000

=====

No. 6
An optimized crystal structure of MgIn2Sb. Source: the Alexandria database, functional PBE.

Computed properties:
Theoretical density ... 6.04 g/cm³
Uncorrected energy ... -2.757 eV/atom
Total magnetic moment ... 0.00 Bohr magnetons per cell
N(E_F) ... 2.26 states/eV per cell
Distance to the lowest polymorph of the same formula ... 113.5 meV/atom
Crystal system ... trigonal
Energy relative to the elements, uncorrected ... 0.041 eV/atom

abc: 10.629 10.629 10.629
angles: 18.29 18.29 18.29
Atoms (fractional coordinates):
In: 0.996 0.996 0.996
In: 0.504 0.504 0.504
Mg: 0.250 0.250 0.250
Sb: 0.750 0.750 0.750

=====

No. 7
An optimized crystal structure of MgIn2Sb. Source: the Alexandria database, functional PBE.

Computed properties:
Theoretical density ... 5.76 g/cm³
Uncorrected energy ... -2.871 eV/atom
Total magnetic moment ... 0.00 Bohr magnetons per cell
N(E_F) ... 1.25 states/eV per cell
Distance to the lowest polymorph of the same formula ... 0.0 meV/atom
Crystal system ... orthorhombic
Energy relative to the elements, uncorrected ... -0.072 eV/atom

abc: 6.795 6.795 6.795
angles: 145.09 142.66 52.04
Atoms (fractional coordinates):
Sb: 0.750 0.250 0.500
Mg: 0.250 0.750 0.500
In: 0.954 0.954 0.000
In: 0.546 0.546 0.000

=====

No. 8
An optimized crystal structure of MgIn2Sb. Source: the Alexandria database, functional PBE.

Computed properties:
Theoretical density ... 6.03 g/cm³
Uncorrected energy ... -2.836 eV/atom
Total magnetic moment ... 0.00 Bohr magnetons per cell
N(E_F) ... 1.40 states/eV per cell
Distance to the lowest polymorph of the same formula ... 34.4 meV/atom
Crystal system ... monoclinic
Energy relative to the elements, uncorrected ... -0.038 eV/atom

abc: 5.928 5.928 5.705
angles: 76.51 76.51 32.15
Atoms (fractional coordinates):
In: 0.005 0.005 0.965
In: 0.761 0.761 0.778
Mg: 0.497 0.497 0.461
Sb: 0.237 0.237 0.296

=====

No. 9
An optimized crystal structure of MgIn2Sb. Source: the Alexandria database, functional PBE.

Computed properties:
Theoretical density ... 6.02 g/cm³
Uncorrected energy ... -2.791 eV/atom
Total magnetic moment ... 0.00 Bohr magnetons per cell
N(E_F) ... 2.00 states/eV per cell
Distance to the lowest polymorph of the same formula ... 79.9 meV/atom
Crystal system ... orthorhombic
Energy relative to the elements, uncorrected ... 0.008 eV/atom

abc: 3.421 4.308 7.036
angles: 90.00 90.00 90.00
Atoms (fractional coordinates):
In: 0.000 0.000 0.012
In: 0.000 0.000 0.488
Mg: 0.500 0.500 0.250
Sb: 0.500 0.500 0.750

=====

No. 10
An optimized crystal structure of Mg2InSb2. Source: the Alexandria database, functional PBE.

Computed properties:
Theoretical density ... 3.74 g/cm³
Uncorrected energy ... -2.947 eV/atom
Total magnetic moment ... 0.00 Bohr magnetons per cell
N(E_F) ... 3.26 states/eV per cell
Crystal system ... monoclinic
Energy relative to the elements, uncorrected ... -0.112 eV/atom

abc: 4.935 8.000 11.386
angles: 120.49 90.00 107.97
Atoms (fractional coordinates):
Mg: 0.657 0.314 0.452
Mg: 0.343 0.686 0.548
Mg: 0.032 0.064 0.690
Mg: 0.968 0.936 0.310
In: 0.368 0.736 0.868
In: 0.632 0.264 0.132
Sb: 0.170 0.340 0.592
Sb: 0.830 0.660 0.408
Sb: 0.456 0.911 0.178
Sb: 0.544 0.089 0.822

=====

No. 11
An optimized crystal structure of MgIn2Sb. Source: the Alexandria database, functional PBE.

Computed properties:
Theoretical density ... 5.99 g/cm³
Uncorrected energy ... -2.777 eV/atom
Total magnetic moment ... 0.00 Bohr magnetons per cell
N(E_F) ... 1.22 states/eV per cell
Distance to the lowest polymorph of the same formula ... 94.0 meV/atom
Crystal system ... tetragonal
Energy relative to the elements, uncorrected ... 0.022 eV/atom

abc: 3.523 3.523 8.394
angles: 90.00 90.00 90.00
Atoms (fractional coordinates):
In: 0.000 0.000 0.010
In: 0.000 0.000 0.490
Mg: 0.500 0.500 0.250
Sb: 0.500 0.500 0.750

=====

No. 12
An optimized crystal structure of Mg2InSbSe. Source: the Alexandria database, functional PBE.

Computed properties:
Theoretical density ... 3.90 g/cm³
Uncorrected energy ... -2.332 eV/atom
Total magnetic moment ... 0.00 Bohr magnetons per cell
N(E_F) ... 1.57 states/eV per cell
Crystal system ... tetragonal
Energy relative to the elements, uncorrected ... 0.374 eV/atom

abc: 5.274 5.575 5.274
angles: 90.00 90.00 90.00
Atoms (fractional coordinates):
Sb: 0.000 0.500 0.000
Mg: 0.000 0.000 0.500
Mg: 0.500 0.000 0.000
Se: 0.500 0.500 0.500
In: 0.000 0.000 0.000

=====

No. 13
An optimized crystal structure of MgInSnSb. Source: the Alexandria database, functional PBE.

Computed properties:
Theoretical density ... 6.01 g/cm³
Uncorrected energy ... -3.090 eV/atom
Total magnetic moment ... 0.00 Bohr magnetons per cell
N(E_F) ... 2.48 states/eV per cell
Crystal system ... cubic
Energy relative to the elements, uncorrected ... 0.024 eV/atom

abc: 5.294 5.294 5.294
angles: 60.00 60.00 60.00
Atoms (fractional coordinates):
Sb: 0.250 0.250 0.250
Mg: 0.000 0.000 0.000
Sn: 0.500 0.500 0.500
In: 0.750 0.750 0.750

=====

No. 14
An optimized crystal structure of MgInSb2Te. Source: the Alexandria database, functional PBE.

Computed properties:
Theoretical density ... 4.73 g/cm³
Uncorrected energy ... -2.797 eV/atom
Total magnetic moment ... 0.00 Bohr magnetons per cell
N(E_F) ... 4.50 states/eV per cell
Distance to the lowest polymorph of the same formula ... 0.0 meV/atom
Crystal system ... tetragonal
Energy relative to the elements, uncorrected ... 0.346 eV/atom

abc: 5.573 5.573 5.767
angles: 90.00 90.00 90.00
Atoms (fractional coordinates):
Sb: 0.000 0.500 0.000
Sb: 0.500 0.000 0.000
Mg: 0.000 0.000 0.000
Te: 0.000 0.000 0.500
In: 0.500 0.500 0.500

=====

No. 15
An optimized crystal structure of MgInSbTe2. Source: the Alexandria database, functional PBE.

Computed properties:
Theoretical density ... 5.06 g/cm³
Uncorrected energy ... -2.760 eV/atom
Total magnetic moment ... 0.00 Bohr magnetons per cell
N(E_F) ... 5.05 states/eV per cell
Distance to the lowest polymorph of the same formula ... 0.0 meV/atom
Crystal system ... tetragonal
Energy relative to the elements, uncorrected ... 0.188 eV/atom

abc: 5.619 5.619 5.365
angles: 90.00 90.00 90.00
Atoms (fractional coordinates):
Sb: 0.000 0.000 0.500
Mg: 0.000 0.000 0.000
Te: 0.000 0.500 0.000
Te: 0.500 0.000 0.000
In: 0.500 0.500 0.500

=====

No. 16
An optimized crystal structure of MgTiInSb2. Source: the Alexandria database, functional PBE.

Computed properties:
Theoretical density ... 4.81 g/cm³
Uncorrected energy ... -3.275 eV/atom
Total magnetic moment ... 0.01 Bohr magnetons per cell
N(E_F) ... 10.07 states/eV per cell
Crystal system ... tetragonal
Energy relative to the elements, uncorrected ... 0.820 eV/atom

abc: 5.348 5.201 5.348
angles: 90.00 90.00 90.00
Site moments in Bohr magnetons follow the coordinates.
Atoms (fractional coordinates):
Sb: 0.000 0.000 0.500  0.02
Sb: 0.500 0.000 0.000  0.02
Mg: 0.000 0.000 0.000  0.00
Ti: 0.500 0.500 0.500  -0.09
In: 0.000 0.500 0.000  0.01

=====

No. 17
An optimized crystal structure of MgSc3In. Source: the Alexandria database, functional PBE.

Computed properties:
Theoretical density ... 3.25 g/cm³
Uncorrected energy ... -4.067 eV/atom
Total magnetic moment ... 0.00 Bohr magnetons per cell
N(E_F) ... 10.93 states/eV per cell
Formation energy ... 0.60 eV/atom
Distance to the lowest polymorph of the same formula ... 833.6 meV/atom
Crystal system ... cubic

abc: 5.191 5.191 5.191
angles: 90.00 90.00 90.00
Atoms (fractional coordinates):
Sc: 0.000 0.500 0.000
Sc: 0.000 0.000 0.500
Sc: 0.500 0.000 0.000
Mg: 0.000 0.000 0.000
In: 0.500 0.500 0.500

=====

No. 18
An optimized crystal structure of MgSc9In2. Source: the Alexandria database, functional PBE.

Computed properties:
Theoretical density ... 3.89 g/cm³
Uncorrected energy ... -5.520 eV/atom
Total magnetic moment ... 4.09 Bohr magnetons per cell
N(E_F) ... 16.67 states/eV per cell
Formation energy ... -0.18 eV/atom
Crystal system ... tetragonal

abc: 4.530 4.530 13.684
angles: 90.00 90.00 90.00
Site moments in Bohr magnetons follow the coordinates.
Atoms (fractional coordinates):
Mg: 0.000 0.000 0.000  0.00
Sc: 0.500 0.500 0.000  0.17
Sc: 0.500 0.500 0.335  0.36
Sc: 0.500 0.500 0.665  0.36
Sc: 0.500 0.000 0.170  0.29
Sc: 0.500 0.000 0.500  0.36
Sc: 0.500 0.000 0.830  0.29
Sc: 0.000 0.500 0.170  0.29
Sc: 0.000 0.500 0.500  0.36
Sc: 0.000 0.500 0.830  0.29
In: 0.000 0.000 0.335  -0.03
In: 0.000 0.000 0.665  -0.03

=====

No. 19
An optimized crystal structure of MgSc4In. Source: the Alexandria database, functional PBE.

Computed properties:
Theoretical density ... 3.56 g/cm³
Uncorrected energy ... -4.922 eV/atom
Total magnetic moment ... 0.00 Bohr magnetons per cell
N(E_F) ... 7.29 states/eV per cell
Formation energy ... 0.02 eV/atom
Distance to the lowest polymorph of the same formula ... 0.0 meV/atom
Crystal system ... orthorhombic

abc: 3.201 8.822 5.266
angles: 90.00 90.00 90.00
Atoms (fractional coordinates):
Mg: 0.500 0.500 0.500
Sc: 0.500 0.694 0.000
Sc: 0.500 0.306 0.000
Sc: 0.000 0.192 0.500
Sc: 0.000 0.808 0.500
In: 0.000 0.000 0.000

=====

No. 20
An optimized crystal structure of Mg2Sc2In. Source: the Alexandria database, functional PBE.

Computed properties:
Theoretical density ... 3.75 g/cm³
Uncorrected energy ... -3.793 eV/atom
Total magnetic moment ... 0.00 Bohr magnetons per cell
N(E_F) ... 4.84 states/eV per cell
Formation energy ... -0.08 eV/atom
Distance to the lowest polymorph of the same formula ... 0.0 meV/atom
Crystal system ... monoclinic

abc: 5.000 5.936 5.932
angles: 49.84 90.03 114.99
Atoms (fractional coordinates):
Mg: 0.408 0.316 0.409
Mg: 0.592 0.684 0.591
Sc: 0.791 0.082 0.792
Sc: 0.209 0.918 0.208
In: 0.000 0.500 0.000